Below is an optimized crystal structure of MnBeAlCr, with properties calculated at the PBE level.

Geometry as CIF:
```
data_MnBeAlCr
_chemical_formula_sum 'Mn4 Be4 Al4 Cr4'
_cell_length_a 5.599
_cell_length_b 5.599
_cell_length_c 5.599
_cell_angle_alpha 90.00
_cell_angle_beta 90.00
_cell_angle_gamma 90.00
_space_group_name_H-M_alt 'F -4 3 m'
_space_group_IT_number 216
_space_group_name_Hall 'F -4 2 3'
loop_
_atom_site_label
_atom_site_type_symbol
_atom_site_fract_x
_atom_site_fract_y
_atom_site_fract_z
Mn1 Mn 0.000 0.000 0.000
Be1 Be 0.250 0.250 0.750
Al1 Al 0.000 0.000 0.500
Cr1 Cr 0.250 0.250 0.250
```

**DFT formation energy**: -0.13 eV/atom



Below is an optimized crystal structure of BeAl2CrMo, with properties calculated at the PBE level.

Geometry as CIF:
```
data_BeAl2CrMo
_chemical_formula_sum 'Be1 Al2 Cr1 Mo1'
_cell_length_a 4.669
_cell_length_b 4.669
_cell_length_c 4.270
_cell_angle_alpha 90.00
_cell_angle_beta 90.00
_cell_angle_gamma 90.00
_space_group_name_H-M_alt 'P 4/m m m'
_space_group_IT_number 123
_space_group_name_Hall '-P 4 2'
loop_
_atom_site_label
_atom_site_type_symbol
_atom_site_fract_x
_atom_site_fract_y
_atom_site_fract_z
Be1 Be 0.000 0.000 0.000
Al1 Al 0.000 0.500 0.500
Cr1 Cr 0.500 0.500 0.000
Mo1 Mo 0.000 0.000 0.500
```

**DFT formation energy**: 1.36 eV/atom



Below is an optimized crystal structure of Be2AlCrMo, with properties calculated at the PBE level.

Geometry as CIF:
```
data_Be2AlCrMo
_chemical_formula_sum 'Be2 Al1 Cr1 Mo1'
_cell_length_a 4.300
_cell_length_b 4.300
_cell_length_c 4.689
_cell_angle_alpha 90.00
_cell_angle_beta 90.00
_cell_angle_gamma 90.00
_space_group_name_H-M_alt 'P 4/m m m'
_space_group_IT_number 123
_space_group_name_Hall '-P 4 2'
loop_
_atom_site_label
_atom_site_type_symbol
_atom_site_fract_x
_atom_site_fract_y
_atom_site_fract_z
Be1 Be 0.000 0.500 0.000
Al1 Al 0.000 0.000 0.500
Cr1 Cr 0.500 0.500 0.500
Mo1 Mo 0.000 0.000 0.000
```

**DFT formation energy**: 1.18 eV/atom



Below is an optimized crystal structure of BeAlCr2Ni, with properties calculated at the PBE level.

Geometry as CIF:
```
data_BeAlCr2Ni
_chemical_formula_sum 'Be1 Al1 Cr2 Ni1'
_cell_length_a 4.485
_cell_length_b 4.485
_cell_length_c 4.319
_cell_angle_alpha 90.00
_cell_angle_beta 90.00
_cell_angle_gamma 90.00
_space_group_name_H-M_alt 'P 4/m m m'
_space_group_IT_number 123
_space_group_name_Hall '-P 4 2'
loop_
_atom_site_label
_atom_site_type_symbol
_atom_site_fract_x
_atom_site_fract_y
_atom_site_fract_z
Be1 Be 0.000 0.000 0.000
Al1 Al 0.500 0.500 0.000
Cr1 Cr 0.000 0.500 0.500
Ni1 Ni 0.500 0.500 0.500
```

**DFT formation energy**: 1.00 eV/atom



Below is an optimized crystal structure of BeAl2CrP, with properties calculated at the PBE level.

Geometry as CIF:
```
data_BeAl2CrP
_chemical_formula_sum 'Be1 Al2 Cr1 P1'
_cell_length_a 4.445
_cell_length_b 4.445
_cell_length_c 3.841
_cell_angle_alpha 90.00
_cell_angle_beta 90.00
_cell_angle_gamma 90.00
_space_group_name_H-M_alt 'P 4/m m m'
_space_group_IT_number 123
_space_group_name_Hall '-P 4 2'
loop_
_atom_site_label
_atom_site_type_symbol
_atom_site_fract_x
_atom_site_fract_y
_atom_site_fract_z
Be1 Be 0.000 0.000 0.000
Al1 Al 0.000 0.500 0.000
Cr1 Cr 0.500 0.500 0.500
P1 P 0.000 0.000 0.500
```

**DFT formation energy**: 0.94 eV/atom



Below is an optimized crystal structure of RbBeAlCr2, with properties calculated at the PBE level.

Geometry as CIF:
```
data_RbBeAlCr2
_chemical_formula_sum 'Rb1 Be1 Al1 Cr2'
_cell_length_a 4.704
_cell_length_b 4.704
_cell_length_c 5.584
_cell_angle_alpha 90.00
_cell_angle_beta 90.00
_cell_angle_gamma 90.00
_space_group_name_H-M_alt 'P 4/m m m'
_space_group_IT_number 123
_space_group_name_Hall '-P 4 2'
loop_
_atom_site_label
_atom_site_type_symbol
_atom_site_fract_x
_atom_site_fract_y
_atom_site_fract_z
Rb1 Rb 0.000 0.000 0.000
Be1 Be 0.000 0.000 0.500
Al1 Al 0.500 0.500 0.000
Cr1 Cr 0.000 0.500 0.500
```

**DFT formation energy**: 1.38 eV/atom



Below is an optimized crystal structure of BeAlCr2Rh, with properties calculated at the PBE level.

Geometry as CIF:
```
data_BeAlCr2Rh
_chemical_formula_sum 'Be1 Al1 Cr2 Rh1'
_cell_length_a 4.702
_cell_length_b 4.702
_cell_length_c 4.602
_cell_angle_alpha 90.00
_cell_angle_beta 90.00
_cell_angle_gamma 90.00
_space_group_name_H-M_alt 'P 4/m m m'
_space_group_IT_number 123
_space_group_name_Hall '-P 4 2'
loop_
_atom_site_label
_atom_site_type_symbol
_atom_site_fract_x
_atom_site_fract_y
_atom_site_fract_z
Be1 Be 0.000 0.000 0.000
Al1 Al 0.500 0.500 0.000
Cr1 Cr 0.000 0.500 0.500
Rh1 Rh 0.500 0.500 0.500
```

**DFT formation energy**: 1.12 eV/atom



Below is an optimized crystal structure of BeAlCr2Sb, with properties calculated at the PBE level.

Geometry as CIF:
```
data_BeAlCr2Sb
_chemical_formula_sum 'Be1 Al1 Cr2 Sb1'
_cell_length_a 4.353
_cell_length_b 4.353
_cell_length_c 4.220
_cell_angle_alpha 90.00
_cell_angle_beta 90.00
_cell_angle_gamma 90.00
_space_group_name_H-M_alt 'P 4/m m m'
_space_group_IT_number 123
_space_group_name_Hall '-P 4 2'
loop_
_atom_site_label
_atom_site_type_symbol
_atom_site_fract_x
_atom_site_fract_y
_atom_site_fract_z
Be1 Be 0.000 0.000 0.000
Al1 Al 0.000 0.000 0.500
Cr1 Cr 0.000 0.500 0.000
Sb1 Sb 0.500 0.500 0.500
```

**Formation energy without anion corrections**: 462 meV per atom



Below is an optimized crystal structure of BeAlCrSe2, with properties calculated at the PBE level.

Geometry as CIF:
```
data_BeAlCrSe2
_chemical_formula_sum 'Be1 Al1 Cr1 Se2'
_cell_length_a 4.980
_cell_length_b 4.980
_cell_length_c 4.244
_cell_angle_alpha 90.00
_cell_angle_beta 90.00
_cell_angle_gamma 90.00
_space_group_name_H-M_alt 'P 4/m m m'
_space_group_IT_number 123
_space_group_name_Hall '-P 4 2'
loop_
_atom_site_label
_atom_site_type_symbol
_atom_site_fract_x
_atom_site_fract_y
_atom_site_fract_z
Be1 Be 0.000 0.000 0.000
Al1 Al 0.000 0.000 0.500
Cr1 Cr 0.500 0.500 0.000
Se1 Se 0.000 0.500 0.500
```

**Formation energy without anion corrections**: 1115 meV per atom



Below is an optimized crystal structure of BeAlCrW, with properties calculated at the PBE level.

Geometry as CIF:
```
data_BeAlCrW
_chemical_formula_sum 'Be4 Al4 Cr4 W4'
_cell_length_a 5.881
_cell_length_b 5.881
_cell_length_c 5.881
_cell_angle_alpha 90.00
_cell_angle_beta 90.00
_cell_angle_gamma 90.00
_space_group_name_H-M_alt 'F -4 3 m'
_space_group_IT_number 216
_space_group_name_Hall 'F -4 2 3'
loop_
_atom_site_label
_atom_site_type_symbol
_atom_site_fract_x
_atom_site_fract_y
_atom_site_fract_z
Be1 Be 0.000 0.000 0.000
Al1 Al 0.250 0.250 0.250
Cr1 Cr 0.000 0.000 0.500
W1 W 0.250 0.250 0.750
```

**DFT formation energy**: 0.02 eV/atom



Below is an optimized crystal structure of YBe2AlCr, with properties calculated at the PBE level.

Geometry as CIF:
```
data_YBe2AlCr
_chemical_formula_sum 'Y1 Be2 Al1 Cr1'
_cell_length_a 4.746
_cell_length_b 4.746
_cell_length_c 4.461
_cell_angle_alpha 90.00
_cell_angle_beta 90.00
_cell_angle_gamma 90.00
_space_group_name_H-M_alt 'P 4/m m m'
_space_group_IT_number 123
_space_group_name_Hall '-P 4 2'
loop_
_atom_site_label
_atom_site_type_symbol
_atom_site_fract_x
_atom_site_fract_y
_atom_site_fract_z
Y1 Y 0.000 0.000 0.000
Be1 Be 0.000 0.500 0.000
Al1 Al 0.500 0.500 0.500
Cr1 Cr 0.000 0.000 0.500
```

**DFT formation energy**: 2.05 eV/atom



Below is an optimized crystal structure of Y2BeAlCr, with properties calculated at the PBE level.

Geometry as CIF:
```
data_Y2BeAlCr
_chemical_formula_sum 'Y2 Be1 Al1 Cr1'
_cell_length_a 5.040
_cell_length_b 5.040
_cell_length_c 4.414
_cell_angle_alpha 90.00
_cell_angle_beta 90.00
_cell_angle_gamma 90.00
_space_group_name_H-M_alt 'P 4/m m m'
_space_group_IT_number 123
_space_group_name_Hall '-P 4 2'
loop_
_atom_site_label
_atom_site_type_symbol
_atom_site_fract_x
_atom_site_fract_y
_atom_site_fract_z
Y1 Y 0.000 0.500 0.000
Be1 Be 0.000 0.000 0.500
Al1 Al 0.500 0.500 0.500
Cr1 Cr 0.000 0.000 0.000
```

**DFT formation energy**: 0.63 eV/atom